Arrangement 1

The following is a GGA-PBEsol calculation of a relaxed KLaOs2 crystal, from the Alexandria database.

The structure belongs to space group Cmmm (No. 65); the cell edges are 5.286, 9.451 and 3.210 Å and the angles 90.00°, 90.00° and 90.00°. The asymmetric unit holds K at (0.000, 0.000, 0.000), La at (0.000, 0.500, 0.000) and Os at (0.250, 0.250, 0.500).

The calculation puts the theoretical density at 11.57 g cm⁻³.

Arrangement 2

The following is a GGA-PBEsol calculation of a relaxed KLaOs2 crystal, from the Alexandria database.

The structure belongs to space group P4/mmm (No. 123); the cell edges are 3.962, 3.962 and 7.163 Å and the angles 90.00°, 90.00° and 90.00°. The asymmetric unit holds K at (0.000, 0.000, 0.000), La at (0.000, 0.000, 0.500) and Os at (0.500, 0.500, 0.341).

The calculation puts the theoretical density at 8.24 g cm⁻³.

Last place for stability: arrangement 1

Arrangement 1

The following is a GGA-PBEsol calculation of a relaxed KLaOs2 crystal, from the Alexandria database.

The structure belongs to space group P4/mmm (No. 123); the cell edges are 3.961, 3.961 and 4.941 Å and the angles 90.00°, 90.00° and 90.00°. The asymmetric unit holds K at (0.000, 0.000, 0.000), La at (0.500, 0.500, 0.000) and Os at (0.000, 0.500, 0.500).

The calculation puts the theoretical density at 11.97 g cm⁻³.

Arrangement 2

The following is a GGA-PBEsol calculation of a relaxed KLaOs2 crystal, from the Alexandria database.

The structure belongs to space group I4/mmm (No. 139); the cell edges are 3.967, 3.967 and 9.857 Å and the angles 90.00°, 90.00° and 90.00°. The asymmetric unit holds K at (0.000, 0.000, 0.000), La at (0.000, 0.000, 0.500) and Os at (0.000, 0.500, 0.250).

The calculation puts the theoretical density at 11.96 g cm⁻³.

Last place for stability: arrangement 1

Arrangement 1

The following is a GGA-PBEsol calculation of a relaxed KLa2Os crystal, from the Alexandria database.

The structure belongs to space group P4/mmm (No. 123); the cell edges are 3.524, 3.524 and 11.024 Å and the angles 90.00°, 90.00° and 90.00°. The asymmetric unit holds K at (0.000, 0.000, 0.000), La at (0.500, 0.500, 0.346) and Os at (0.000, 0.000, 0.500).

The calculation puts the theoretical density at 6.15 g cm⁻³.

Arrangement 2

The following is a GGA-PBEsol calculation of a relaxed KLa2Os crystal, from the Alexandria database.

The structure belongs to space group C2/m (No. 12); the cell edges are 7.294, 4.208 and 10.599 Å and the angles 90.00°, 103.11° and 90.00°. The asymmetric unit holds K at (0.000, 0.000, 0.000), La at (0.212, 0.000, 0.639) and Os at (0.000, 0.500, 0.500).

The calculation puts the theoretical density at 5.32 g cm⁻³.

Last place for stability: arrangement 1

Arrangement 1

The following is a GGA-PBEsol calculation of a relaxed KLa2Pt crystal, from the Alexandria database.

The structure belongs to space group P4mm (No. 99); the cell edges are 4.049, 4.049 and 9.688 Å and the angles 90.00°, 90.00° and 90.00°. The asymmetric unit holds K at (0.000, 0.000, 0.000), La at (0.000, 0.000, 0.621), La at (0.500, 0.500, 0.354) and Pt at (0.500, 0.500, 0.645).

The calculation puts the theoretical density at 5.35 g cm⁻³.

Arrangement 2

The following is a GGA-PBEsol calculation of a relaxed KLa2Pt crystal, from the Alexandria database.

The structure belongs to space group Pmmm (No. 47); the cell edges are 4.280, 4.547 and 5.575 Å and the angles 90.00°, 90.00° and 90.00°. The asymmetric unit holds K at (0.000, 0.000, 0.000), La at (0.500, 0.000, 0.500), La at (0.500, 0.500, 0.000) and Pt at (0.000, 0.500, 0.500).

The calculation puts the theoretical density at 7.84 g cm⁻³.

Last place for stability: arrangement 2

Arrangement 1

The following is a GGA-PBEsol calculation of a relaxed K2LaRe crystal, from the Alexandria database.

The structure belongs to space group Pmmm (No. 47); the cell edges are 2.937, 5.810 and 6.287 Å and the angles 90.00°, 90.00° and 90.00°. The asymmetric unit holds K at (0.000, 0.235, 0.000), La at (0.500, 0.500, 0.500) and Re at (0.500, 0.000, 0.500).

The calculation puts the theoretical density at 6.24 g cm⁻³.

Arrangement 2

The following is a GGA-PBEsol calculation of a relaxed K2LaRe crystal, from the Alexandria database.

The structure belongs to space group P4/mmm (No. 123); the cell edges are 4.844, 4.844 and 5.671 Å and the angles 90.00°, 90.00° and 90.00°. The asymmetric unit holds K at (0.000, 0.000, 0.236), La at (0.500, 0.500, 0.500) and Re at (0.500, 0.500, 0.000).

The calculation puts the theoretical density at 5.03 g cm⁻³.

Last place for stability: arrangement 2

Arrangement 1

The following is a GGA-PBEsol calculation of a relaxed K2LaRe crystal, from the Alexandria database.

The structure belongs to space group C2/m (No. 12); the cell edges are 5.749, 13.115 and 3.415 Å and the angles 90.00°, 119.54° and 90.00°. The asymmetric unit holds K at (0.250, 0.250, 0.000), La at (0.000, 0.000, 0.500) and Re at (0.000, 0.500, 0.500).

The calculation puts the theoretical density at 5.98 g cm⁻³.

Arrangement 2

The following is a GGA-PBEsol calculation of a relaxed K2LaRe crystal, from the Alexandria database.

The structure belongs to space group Pmmm (No. 47); the cell edges are 3.520, 4.896 and 6.527 Å and the angles 90.00°, 90.00° and 90.00°. The asymmetric unit holds K at (0.000, 0.000, 0.000), K at (0.500, 0.500, 0.000), La at (0.000, 0.500, 0.500) and Re at (0.500, 0.000, 0.500).

The calculation puts the theoretical density at 5.95 g cm⁻³.

Last place for stability: arrangement 1

Arrangement 1

The following is a GGA-PBEsol calculation of a relaxed KLaRh3 crystal, from the Alexandria database.

The structure belongs to space group Pm-3m (No. 221); the cell edges are 4.931, 4.931 and 4.931 Å and the angles 90.00°, 90.00° and 90.00°. The asymmetric unit holds K at (0.000, 0.000, 0.000), La at (0.500, 0.500, 0.500) and Rh at (0.000, 0.500, 0.500).

The calculation puts the theoretical density at 6.74 g cm⁻³.

Arrangement 2

The following is a GGA-PBEsol calculation of a relaxed KLaRh3 crystal, from the Alexandria database.

The structure belongs to space group Pm-3m (No. 221); the cell edges are 4.699, 4.699 and 4.699 Å and the angles 90.00°, 90.00° and 90.00°. The asymmetric unit holds K at (0.000, 0.000, 0.000), La at (0.500, 0.500, 0.500) and Rh at (0.000, 0.000, 0.500).

The calculation puts the theoretical density at 7.79 g cm⁻³.

Last place for stability: arrangement 2

Arrangement 1

The following is a GGA-PBEsol calculation of a relaxed KLa2Ru crystal, from the Alexandria database.

The structure belongs to space group C2/m (No. 12); the cell edges are 7.146, 4.128 and 10.640 Å and the angles 90.00°, 103.03° and 90.00°. The asymmetric unit holds K at (0.000, 0.000, 0.000), La at (0.214, 0.000, 0.642) and Ru at (0.000, 0.500, 0.500).

The calculation puts the theoretical density at 4.54 g cm⁻³.

Arrangement 2

The following is a GGA-PBEsol calculation of a relaxed KLa2Ru crystal, from the Alexandria database.

The structure belongs to space group I-4m2 (No. 119); the cell edges are 4.325, 4.325 and 10.809 Å and the angles 90.00°, 90.00° and 90.00°. The asymmetric unit holds K at (0.000, 0.000, 0.000), La at (0.000, 0.000, 0.500), La at (0.000, 0.500, 0.250) and Ru at (0.000, 0.500, 0.750).

The calculation puts the theoretical density at 6.87 g cm⁻³.

Last place for stability: arrangement 2